No. 1
Below is a relaxed SrCa2YAu4 crystal, with properties calculated at the GGA-PBE level.

Results
magnetization: 0.000 μB per atom
energy relative to the elements: -786 meV/atom
crystal system: trigonal

Cell lengths 9.0794, 9.0794, 9.0794 Å; angles 33.17, 33.17, 33.17 degrees
Last column: nearest neighbours and their distance in Å.
Element x y z (fractional)
Sr 0.0000 0.0000 0.0000  8 Au 3.25-3.39
Ca 0.2497 0.2497 0.2497  7 Au 3.03-3.24
Ca 0.7503 0.7503 0.7503  7 Au 3.03-3.24
Y 0.5000 0.5000 0.5000  8 Au 3.02-3.12
Au 0.1318 0.1318 0.1318  4 Ca 3.03-3.24, 3 Y 3.12, 1 Sr 3.39
Au 0.3824 0.3824 0.3824  1 Y 3.02, 3 Ca 3.12, 3 Sr 3.25
Au 0.6176 0.6176 0.6176  1 Y 3.02, 3 Ca 3.12, 3 Sr 3.25
Au 0.8682 0.8682 0.8682  4 Ca 3.03-3.24, 3 Y 3.12, 1 Sr 3.39

No. 2
Below is a relaxed Li2LaHPd crystal, with properties calculated at the GGA-PBE level.

Results
magnetization: 0.000 μB per atom
total energy: -19.62 eV for the cell shown
crystal system: tetragonal

Cell lengths 4.0664, 4.0664, 5.1686 Å; angles 90.00, 90.00, 90.00 degrees
Last column: nearest neighbours and their distance in Å.
Element x y z (fractional)
Li 0.0000 0.5000 0.0000  2 H 2.03
Li 0.5000 0.0000 0.0000  2 H 2.03
La 0.0000 0.0000 0.5000  2 H 2.58, 4 Pd 2.88
H 0.0000 0.0000 0.0000  4 Li 2.03
Pd 0.5000 0.5000 0.5000  4 La 2.88

No. 3
Below is a relaxed Pd2SBr crystal, with properties calculated at the GGA-PBE level.

Results
E_form (uncorrected): -0.0868 eV/atom
magnetization: 0.000 μB per atom
polymorph energy (0 for the lowest one): 0.00 eV per formula unit
crystal system: tetragonal

Cell lengths 6.4932, 6.4932, 6.4932 Å; angles 123.90, 123.90, 83.37 degrees
Last column: nearest neighbours and their distance in Å.
Element x y z (fractional)
Pd 0.0643 0.6250 0.9393  2 S 2.27
Pd 0.3750 0.3143 0.4393  2 S 2.27
Pd 0.6857 0.1250 0.0607  2 S 2.27
Pd 0.8750 0.9357 0.5607  2 S 2.27
S 0.0000 0.0000 0.0000  4 Pd 2.27
S 0.7500 0.2500 0.5000  4 Pd 2.27
Br 0.2500 0.7500 0.5000  4 Pd 2.72
Br 0.5000 0.5000 0.0000  4 Pd 2.72

No. 4
Below is a relaxed TiAsSBr2 crystal, with properties calculated at the GGA-PBE level.

Results
E_form (uncorrected): 0.0599 eV/atom
magnetization: 0.154 μB per atom
polymorph energy (0 for the lowest one): 0.00 eV per formula unit
crystal system: tetragonal

Cell lengths 4.8377, 4.8377, 5.3843 Å; angles 90.00, 90.00, 90.00 degrees
Last column: nearest neighbours and their distance in Å.
Element x y z (fractional)
Ti 0.0000 0.0000 0.0000  4 Br 2.42, 2 As 2.69
As 0.0000 0.0000 0.5000  2 Ti 2.69
S 0.5000 0.5000 0.5000  4 As 3.42, 8 Br 3.62
Br 0.0000 0.5000 0.0000  2 Ti 2.42
Br 0.5000 0.0000 0.0000  2 Ti 2.42

Question: Which of these has the highest magnetization?
Answer: TiAsSBr2